Model P:
Material: ScInFeCo
Method: DFT, GGA-PBE
State: optimized geometry

Cell: 4.3909 4.3909 4.3909 Å, 60.00 60.00 60.00°
Closest atoms and distances in Å follow each position.
Element x y z (fractional)
Co: 0.7500 0.7500 0.7500  4 Sc 2.69, 4 In 2.69
Fe: 0.2500 0.2500 0.2500  4 In 2.69, 4 Sc 2.69
In: 0.0000 0.0000 0.0000  4 Fe 2.69, 4 Co 2.69
Sc: 0.5000 0.5000 0.5000  4 Co 2.69, 4 Fe 2.69

spin magnetization = 0.89 μB per cell

Model Q:
Material: ScInFeCo
Method: DFT, GGA-PBE
State: optimized geometry

Cell: 4.5026 4.5026 4.5026 Å, 60.00 60.00 60.00°
Closest atoms and distances in Å follow each position.
Element x y z (fractional)
Co: 0.7500 0.7500 0.7500  4 Sc 2.76, 4 Fe 2.76
Fe: 0.0000 0.0000 0.0000  4 In 2.76, 4 Co 2.76
In: 0.2500 0.2500 0.2500  4 Fe 2.76, 4 Sc 2.76
Sc: 0.5000 0.5000 0.5000  4 Co 2.76, 4 In 2.76

spin magnetization = 4.22 μB per cell

Short version: model P is the most stable of them.

Model P:
Material: GaTcNO
Method: DFT, GGA-PBE
State: optimized geometry

Cell: 4.3439 4.3439 4.3432 Å, 90.00 90.00 90.00°
Closest atoms and distances in Å follow each position.
Element x y z (fractional)
Ga: 0.0000 0.0000 0.5000  2 O 2.17, 4 N 2.17
Ga: 0.5000 0.5000 0.5000  2 O 2.17, 4 N 2.17
N: 0.5000 0.0000 0.4849  2 Tc 2.14-2.20, 4 Ga 2.17
N: 0.0000 0.5000 0.5151  2 Tc 2.14-2.20, 4 Ga 2.17
O: 0.0000 0.0000 0.0000  2 Ga 2.17, 4 Tc 2.17
O: 0.5000 0.5000 0.0000  2 Ga 2.17, 4 Tc 2.17
Tc: 0.0000 0.5000 0.0076  2 N 2.14-2.20, 4 O 2.17
Tc: 0.5000 0.0000 0.9924  2 N 2.14-2.20, 4 O 2.17

spin magnetization = 0.11 μB per cell

Model Q:
Material: GaTcNO
Method: DFT, GGA-PBE
State: optimized geometry

Cell: 3.7270 3.7270 6.5466 Å, 90.00 90.00 90.00°
Closest atoms and distances in Å follow each position.
Element x y z (fractional)
Ga: 0.2500 0.2500 0.1273  4 O 2.04
Ga: 0.7500 0.7500 0.8727  4 O 2.04
N: 0.7500 0.7500 0.3659  4 Tc 2.06
N: 0.2500 0.2500 0.6341  4 Tc 2.06
O: 0.7500 0.2500 0.0000  4 Ga 2.04
O: 0.2500 0.7500 0.0000  4 Ga 2.04
Tc: 0.7500 0.2500 0.5000  4 N 2.06
Tc: 0.2500 0.7500 0.5000  4 N 2.06

spin magnetization = 0.28 μB per cell

Short version: model Q is the most stable of them.

Model P:
Material: SrTmNO
Method: DFT, GGA-PBE
State: optimized geometry

Cell: 4.9131 4.9131 5.0849 Å, 90.00 90.00 90.00°
Closest atoms and distances in Å follow each position.
Element x y z (fractional)
N: 0.2500 0.2500 0.4996  4 Tm 2.46, 2 Sr 2.54
N: 0.7500 0.7500 0.5004  4 Tm 2.46, 2 Sr 2.54
O: 0.7500 0.2500 0.0000  4 Sr 2.46, 2 Tm 2.54
O: 0.2500 0.7500 0.0000  4 Sr 2.46, 2 Tm 2.54
Sr: 0.7500 0.7500 0.0004  4 O 2.46, 2 N 2.54
Sr: 0.2500 0.2500 0.9996  4 O 2.46, 2 N 2.54
Tm: 0.7500 0.2500 0.5000  4 N 2.46, 2 O 2.54
Tm: 0.2500 0.7500 0.5000  4 N 2.46, 2 O 2.54

spin magnetization = 0.00 μB per cell

Model Q:
Material: SrTmNO
Method: DFT, GGA-PBE
State: optimized geometry

Cell: 6.6883 8.2047 5.5830 Å, 90.00 90.00 90.00°
Closest atoms and distances in Å follow each position.
Element x y z (fractional)
N: 0.4527 0.1614 0.0626  1 Tm 2.07
N: 0.9527 0.8386 0.0626  1 Tm 2.07
N: 0.0473 0.1614 0.5626  1 Tm 2.07
N: 0.5473 0.8386 0.5626  1 Tm 2.07
O: 0.8976 0.4081 0.1123  3 Tm 2.17-2.19
O: 0.3976 0.5919 0.1123  3 Tm 2.17-2.19
O: 0.6024 0.4081 0.6123  3 Tm 2.17-2.19
O: 0.1024 0.5919 0.6123  3 Tm 2.17-2.19
Sr: 0.0786 0.1270 0.0283  3 N 2.52-2.62, 1 O 2.65
Sr: 0.5786 0.8730 0.0283  3 N 2.52-2.62, 1 O 2.65
Sr: 0.4214 0.1270 0.5283  3 N 2.52-2.62, 1 O 2.65
Sr: 0.9214 0.8730 0.5283  3 N 2.52-2.62, 1 O 2.65
Tm: 0.9152 0.3861 0.4992  1 N 2.07, 3 O 2.17-2.19
Tm: 0.4152 0.6139 0.4992  1 N 2.07, 3 O 2.17-2.19
Tm: 0.5848 0.3861 0.9992  1 N 2.07, 3 O 2.17-2.19
Tm: 0.0848 0.6139 0.9992  1 N 2.07, 3 O 2.17-2.19

spin magnetization = 0.00 μB per cell

Short version: model P is the most stable of them.

Model P:
Material: ThBiSb
Method: DFT, GGA-PBE
State: optimized geometry

Cell: 5.3523 5.3523 5.3523 Å, 60.00 60.00 60.00°
Closest atoms and distances in Å follow each position.
Element x y z (fractional)
Bi: 0.2500 0.2500 0.2500  4 Th 3.28
Sb: 0.7500 0.7500 0.7500  4 Th 3.28
Th: 0.0000 0.0000 0.0000  4 Sb 3.28, 4 Bi 3.28

spin magnetization = 0.03 μB per cell

Model Q:
Material: ThBiSb
Method: DFT, GGA-PBE
State: optimized geometry

Cell: 5.2531 5.2531 5.2531 Å, 60.00 60.00 60.00°
Closest atoms and distances in Å follow each position.
Element x y z (fractional)
Bi: 0.7500 0.7500 0.7500  4 Sb 3.22
Sb: 0.0000 0.0000 0.0000  4 Bi 3.22, 4 Th 3.22
Th: 0.2500 0.2500 0.2500  4 Sb 3.22

spin magnetization = 0.00 μB per cell

Short version: model P is the most stable of them.

Model P:
Material: SmPbW
Method: DFT, GGA-PBE
State: optimized geometry

Cell: 4.8841 4.8841 4.8841 Å, 60.00 60.00 60.00°
Closest atoms and distances in Å follow each position.
Element x y z (fractional)
Pb: 0.2500 0.2500 0.2500  4 W 2.99
Sm: 0.7500 0.7500 0.7500  4 W 2.99
W: 0.0000 0.0000 0.0000  4 Pb 2.99, 4 Sm 2.99

spin magnetization = 1.04 μB per cell

Model Q:
Material: SmPbW
Method: DFT, GGA-PBE
State: optimized geometry

Cell: 5.0451 5.0451 5.0451 Å, 60.00 60.00 60.00°
Closest atoms and distances in Å follow each position.
Element x y z (fractional)
Pb: 0.2500 0.2500 0.2500  4 Sm 3.09
Sm: 0.0000 0.0000 0.0000  4 W 3.09, 4 Pb 3.09
W: 0.7500 0.7500 0.7500  4 Sm 3.09

spin magnetization = 3.13 μB per cell

Short version: model P is the most stable of them.

Model P:
Material: LiCd2Ag
Method: DFT, GGA-PBE
State: optimized geometry

Cell: 3.3965 3.3965 6.4143 Å, 90.00 90.00 90.00°
Closest atoms and distances in Å follow each position.
Element x y z (fractional)
Ag: 0.0000 0.0000 0.5000  8 Cd 2.92, 2 Li 3.21
Cd: 0.5000 0.5000 0.2409  4 Li 2.86, 4 Ag 2.92, 1 Cd 3.09
Cd: 0.5000 0.5000 0.7591  4 Li 2.86, 4 Ag 2.92, 1 Cd 3.09
Li: 0.0000 0.0000 0.0000  8 Cd 2.86

Model Q:
Material: LiCd2Ag
Method: DFT, GGA-PBE
State: optimized geometry

Cell: 4.5580 4.5580 8.7302 Å, 90.00 90.00 120.00°
Closest atoms and distances in Å follow each position.
Element x y z (fractional)
Ag: 0.0000 0.0000 0.2500  3 Li 2.63
Ag: 0.0000 0.0000 0.7500  3 Li 2.63
Cd: 0.3333 0.6667 0.0802  4 Li 2.88-3.02, 4 Cd 2.97-2.98, 3 Ag 3.02
Cd: 0.3333 0.6667 0.4198  4 Li 2.88-3.02, 4 Cd 2.97-2.98, 3 Ag 3.02
Cd: 0.6667 0.3333 0.5802  4 Li 2.88-3.02, 4 Cd 2.97-2.98, 3 Ag 3.02
Cd: 0.6667 0.3333 0.9198  4 Li 2.88-3.02, 4 Cd 2.97-2.98, 3 Ag 3.02
Li: 0.6667 0.3333 0.2500  3 Ag 2.63, 2 Cd 2.88
Li: 0.3333 0.6667 0.7500  3 Ag 2.63, 2 Cd 2.88

Short version: model P is the most stable of them.

Model P:
Material: BaFeAgTe3
Method: DFT, GGA-PBE
State: optimized geometry

Cell: 8.1753 4.3903 10.0708 Å, 90.00 108.13 90.00°
Closest atoms and distances in Å follow each position.
Element x y z (fractional)
Ag: 0.4214 0.7500 0.4021  4 Te 2.81-2.93, 2 Ag 2.96
Ag: 0.5786 0.2500 0.5979  4 Te 2.81-2.93, 2 Ag 2.96
Ba: 0.7276 0.2500 0.2689  8 Te 3.50-3.79, 3 Ag 3.87
Ba: 0.2724 0.7500 0.7311  8 Te 3.50-3.79, 3 Ag 3.87
Fe: 0.1865 0.2500 0.1595  6 Te 2.74-2.84
Fe: 0.8135 0.7500 0.8405  6 Te 2.74-2.84
Te: 0.3837 0.7500 0.1149  1 Ag 2.81, 2 Fe 2.84
Te: 0.9595 0.7500 0.1247  3 Fe 2.74-2.83
Te: 0.2117 0.2500 0.4379  1 Fe 2.75, 3 Ag 2.88-2.93
Te: 0.7883 0.7500 0.5621  1 Fe 2.75, 3 Ag 2.88-2.93
Te: 0.0405 0.2500 0.8753  3 Fe 2.74-2.83
Te: 0.6163 0.2500 0.8851  1 Ag 2.81, 2 Fe 2.84

spin magnetization = 6.08 μB per cell

Model Q:
Material: BaFeAgTe3
Method: DFT, GGA-PBE
State: optimized geometry

Cell: 7.7617 7.7617 10.8546 Å, 90.00 90.00 147.76°
Closest atoms and distances in Å follow each position.
Element x y z (fractional)
Ag: 0.0411 0.9589 0.2500  4 Te 2.74-2.77
Ag: 0.9589 0.0411 0.7500  4 Te 2.74-2.77
Ba: 0.7337 0.2663 0.2500  8 Te 3.57-3.65, 2 Ag 3.59
Ba: 0.2663 0.7337 0.7500  8 Te 3.57-3.65, 2 Ag 3.59
Fe: 0.5000 0.5000 0.0000  6 Te 2.88-2.94
Fe: 0.5000 0.5000 0.5000  6 Te 2.88-2.94
Te: 0.1269 0.8731 0.0264  1 Ag 2.74, 2 Fe 2.88
Te: 0.4246 0.5754 0.2500  2 Ag 2.77, 2 Fe 2.94
Te: 0.1269 0.8731 0.4736  1 Ag 2.74, 2 Fe 2.88
Te: 0.8731 0.1269 0.5264  1 Ag 2.74, 2 Fe 2.88
Te: 0.5754 0.4246 0.7500  2 Ag 2.77, 2 Fe 2.94
Te: 0.8731 0.1269 0.9736  1 Ag 2.74, 2 Fe 2.88

spin magnetization = 7.11 μB per cell

Short version: model P is the most stable of them.